1.
A geometry-optimized NaLiMnCl6 structure, computed with GGA-PBE.

Properties
- M_tot (μB per formula unit) = 2.9
- formation energy without anion corrections (eV/atom) = -1.259

Geometry as extended XYZ:
```
9
Lattice="6.313 0.000 0.000 -3.157 5.467 0.000 0.000 0.000 6.130" Properties=species:S:1:pos:R:3 pbc="T T T"
Na 0.000 0.000 0.000
Li 3.157 1.822 3.065
Mn 0.000 3.645 3.065
Cl -1.015 2.074 1.739
Cl -1.868 3.552 4.391
Cl 1.015 2.074 4.391
Cl -0.854 5.309 1.739
Cl 1.868 3.552 1.739
Cl 0.854 5.309 4.391
```

***

2.
A geometry-optimized USiPt structure, computed with GGA-PBE.

Properties
- DOS at the Fermi energy (states/eV/cell) = 5.37
- M_tot (μB per formula unit) = 1.8
- formation energy without anion corrections (eV/atom) = -0.707

Geometry as extended XYZ:
```
3
Lattice="4.282 0.000 0.000 -2.141 3.708 0.000 0.000 0.000 3.596" Properties=species:S:1:pos:R:3 pbc="T T T"
U 0.000 0.000 0.000
Si 0.000 2.472 1.798
Pt 2.141 1.236 1.798
```

***

3.
A geometry-optimized La4MnAl structure, computed with GGA-PBE.

Properties
- DOS at the Fermi energy (states/eV/cell) = 8.38
- M_tot (μB per formula unit) = 3.7
- calculated formation energy (eV per atom) = 0.54

Geometry as extended XYZ:
```
6
Lattice="0.000 4.555 4.555 4.555 0.000 4.555 4.555 4.555 0.000" Properties=species:S:1:pos:R:3 pbc="T T T"
La 3.423 3.423 3.423
La 5.686 5.686 3.423
La 5.686 3.423 5.686
La 3.423 5.686 5.686
Mn 0.000 0.000 0.000
Al 6.832 6.832 6.832
```

***

4.
A geometry-optimized TmSbRu2 structure, computed with GGA-PBE.

Properties
- DOS at the Fermi energy (states/eV/cell) = 1.14
- M_tot (μB per formula unit) = 0.0
- formation energy without anion corrections (eV/atom) = -0.437

Geometry as extended XYZ:
```
4
Lattice="4.544 0.000 0.000 0.000 4.544 0.000 0.000 0.000 3.401" Properties=species:S:1:pos:R:3 pbc="T T T"
Tm 0.000 0.000 0.000
Sb 2.272 2.272 0.000
Ru 0.000 2.272 1.700
Ru 2.272 0.000 1.700
```

***

5.
A geometry-optimized RbInAu4 structure, computed with GGA-PBE.

Properties
- DOS at the Fermi energy (states/eV/cell) = 4.23
- M_tot (μB per formula unit) = 0.0
- calculated formation energy (eV per atom) = -0.16
- energy above the lowest structure with this stoichiometry (eV per formula unit) = 0.01

Geometry as extended XYZ:
```
12
Lattice="6.783 -3.344 0.000 6.783 3.344 0.000 -0.775 0.000 6.805" Properties=species:S:1:pos:R:3 pbc="T T T"
Rb 2.743 0.000 2.451
Rb 10.048 0.000 4.354
In 5.521 0.000 5.222
In 7.270 0.000 1.583
Au 5.447 1.935 0.688
Au 6.396 1.953 3.403
Au 2.950 0.000 6.077
Au 7.344 1.935 6.117
Au 5.447 -1.935 0.688
Au 9.841 0.000 0.728
Au 6.396 -1.953 3.403
Au 7.344 -1.935 6.117
```

***

6.
A geometry-optimized K2ZrAg2Te4 structure, computed with GGA-PBE.

Properties
- DOS at the Fermi energy (states/eV/cell) = 1.20
- M_tot (μB per formula unit) = 0.0
- formation energy without anion corrections (eV/atom) = -0.725

Geometry as extended XYZ:
```
9
Lattice="8.148 -2.171 0.000 8.148 2.171 0.000 -2.905 0.000 7.906" Properties=species:S:1:pos:R:3 pbc="T T T"
K 1.976 0.000 0.639
K 11.415 0.000 7.267
Zr -1.453 0.000 3.953
Ag 3.633 0.000 4.120
Ag 9.758 0.000 3.786
Te 1.063 0.000 5.539
Te 5.862 0.000 5.831
Te 7.528 0.000 2.075
Te 12.327 0.000 2.367
```

***

7.
A geometry-optimized KNb2Zn2O7 structure, computed with GGA-PBE.

Properties
- DOS at the Fermi energy (states/eV/cell) = 2.50
- M_tot (μB per formula unit) = 0.0
- formation energy without anion corrections (eV/atom) = -2.052

Geometry as extended XYZ:
```
12
Lattice="-1.994 2.066 9.211 1.994 -2.066 9.211 1.994 2.066 -9.211" Properties=species:S:1:pos:R:3 pbc="T T T"
K 0.000 0.000 0.000
Nb 0.000 0.000 7.223
Nb 0.000 0.000 11.200
Zn 1.994 0.000 4.282
Zn 0.000 2.066 4.930
O 1.994 0.000 2.130
O 0.000 0.000 5.000
O 1.994 0.000 7.152
O 0.000 0.000 9.211
O 0.000 2.066 2.059
O 0.000 0.000 13.423
O 0.000 2.066 7.082
```

***

8.
A geometry-optimized YTeMoOs2 structure, computed with GGA-PBE.

Properties
- DOS at the Fermi energy (states/eV/cell) = 5.56
- M_tot (μB per formula unit) = 0.9
- formation energy without anion corrections (eV/atom) = 1.249

Geometry as extended XYZ:
```
5
Lattice="4.721 0.000 0.000 0.000 4.721 0.000 0.000 0.000 5.437" Properties=species:S:1:pos:R:3 pbc="T T T"
Y 0.000 0.000 0.000
Te 2.361 2.361 0.000
Mo 0.000 0.000 2.719
Os 0.000 2.361 2.719
Os 2.361 0.000 2.719
```

***

Please write out number 4 again, unchanged.
A geometry-optimized TmSbRu2 structure, computed with GGA-PBE.

Properties
- DOS at the Fermi energy (states/eV/cell) = 1.14
- M_tot (μB per formula unit) = 0.0
- formation energy without anion corrections (eV/atom) = -0.437

Geometry as extended XYZ:
```
4
Lattice="4.544 0.000 0.000 0.000 4.544 0.000 0.000 0.000 3.401" Properties=species:S:1:pos:R:3 pbc="T T T"
Tm 0.000 0.000 0.000
Sb 2.272 2.272 0.000
Ru 0.000 2.272 1.700
Ru 2.272 0.000 1.700
```

***

- Which value of M_tot does entry 8 give?
  0.9 μB per formula unit

***

- M_tot of number 6 (K2ZrAg2Te4)?
  0.0 μB per formula unit

***

Copy entry 7 word for word.
A geometry-optimized KNb2Zn2O7 structure, computed with GGA-PBE.

Properties
- DOS at the Fermi energy (states/eV/cell) = 2.50
- M_tot (μB per formula unit) = 0.0
- formation energy without anion corrections (eV/atom) = -2.052

Geometry as extended XYZ:
```
12
Lattice="-1.994 2.066 9.211 1.994 -2.066 9.211 1.994 2.066 -9.211" Properties=species:S:1:pos:R:3 pbc="T T T"
K 0.000 0.000 0.000
Nb 0.000 0.000 7.223
Nb 0.000 0.000 11.200
Zn 1.994 0.000 4.282
Zn 0.000 2.066 4.930
O 1.994 0.000 2.130
O 0.000 0.000 5.000
O 1.994 0.000 7.152
O 0.000 0.000 9.211
O 0.000 2.066 2.059
O 0.000 0.000 13.423
O 0.000 2.066 7.082
```